<1>
Material: YReIr
Method: DFT, PBE
State: optimized geometry

Lattice parameters (Å, degrees): 5.7058 5.7058 5.7058 150.91 139.75 50.43
Sites, in units of the cell vectors:
Y 0.0000 0.0000 0.0000
Re 0.2932 0.2932 0.0000
Ir 0.7052 0.7052 0.0000

Computed properties:
**Symmetry**: Imm2
**D(E_F)**: 0.937 states/eV/atom
**V**: 58.1 Å³/f.u.

<2>
Material: YReIr
Method: DFT, PBE
State: optimized geometry

Lattice parameters (Å, degrees): 4.5983 4.5983 3.0485 90.00 90.00 120.00
Sites, in units of the cell vectors:
Y 0.0000 0.0000 0.0000
Re 0.6667 0.3333 0.5000
Ir 0.3333 0.6667 0.5000

Computed properties:
**Symmetry**: P-6m2
**D(E_F)**: 1.197 states/eV/atom
**V**: 55.8 Å³/f.u.

<3>
Material: YReIr
Method: DFT, PBE
State: optimized geometry

Lattice parameters (Å, degrees): 4.4875 4.4875 4.4875 60.00 60.00 60.00
Sites, in units of the cell vectors:
Y 0.0000 0.0000 0.0000
Re 0.5000 0.5000 0.5000
Ir 0.7500 0.7500 0.7500

Computed properties:
**Symmetry**: F-43m
**D(E_F)**: 1.293 states/eV/atom
**V**: 63.9 Å³/f.u.

<4>
Material: YReIr
Method: DFT, PBE
State: optimized geometry

Lattice parameters (Å, degrees): 6.6088 6.6088 6.6088 154.13 154.13 36.91
Sites, in units of the cell vectors:
Y 0.0000 0.0000 0.0000
Re 0.6867 0.6867 0.0000
Ir 0.3147 0.3147 0.0000

Computed properties:
**Symmetry**: I4mm
**D(E_F)**: 1.466 states/eV/atom
**V**: 54.9 Å³/f.u.

Which one is most stable, and which one is least stable? <4> is the most stable of them, while <3> is the least stable.

<1>
Material: YReIr
Method: DFT, PBE
State: optimized geometry

Lattice parameters (Å, degrees): 4.5389 4.5389 4.5389 60.00 60.00 60.00
Sites, in units of the cell vectors:
Y 0.0000 0.0000 0.0000
Re 0.2500 0.2500 0.2500
Ir 0.7500 0.7500 0.7500

Computed properties:
**Symmetry**: F-43m
**D(E_F)**: 0.572 states/eV/atom
**V**: 66.1 Å³/f.u.

<2>
Material: YReIr
Method: DFT, PBE
State: optimized geometry

Lattice parameters (Å, degrees): 2.9130 2.9130 7.3283 90.00 90.00 120.00
Sites, in units of the cell vectors:
Y 0.0000 0.0000 0.0000
Re 0.6667 0.3333 0.6350
Ir 0.3333 0.6667 0.3536

Computed properties:
**Symmetry**: P3m1
**D(E_F)**: 1.329 states/eV/atom
**V**: 53.9 Å³/f.u.

Which one is most stable, and which one is least stable? <2> is the most stable of them, while <1> is the least stable.